The following is a DFT calculation (PBE) of a relaxed Rb3HO2 crystal.

Structure (CIF):
```
data_Rb3HO2
_cell_length_a 4.047
_cell_length_b 6.637
_cell_length_c 9.407
_cell_angle_alpha 90.00
_cell_angle_beta 90.00
_cell_angle_gamma 90.00
_space_group_name_H-M_alt 'P 1'
_space_group_IT_number 1
loop_
_space_group_symop_operation_xyz
'x,y,z'
loop_
_atom_site_label
_atom_site_fract_x
_atom_site_fract_y
_atom_site_fract_z
Rb1 0.000 0.000 0.000
Rb2 0.500 0.500 0.500
Rb3 0.500 0.003 0.677
Rb4 0.500 0.997 0.323
Rb5 0.000 0.503 0.823
Rb6 0.000 0.497 0.177
H1 0.000 0.000 0.500
H2 0.500 0.500 0.000
O1 0.500 0.690 0.003
O2 0.000 0.190 0.497
O3 0.000 0.810 0.503
O4 0.500 0.310 0.997
```

Computed properties:
The calculated volume is 21.1 Å³ per atom. The value obtained for the energy above the most stable polymorph in this dataset is 0.0 meV/atom. The space group is Pnnm, No. 58. The calculated density comes out at 3.80 g cm⁻³.